(1)
This record from Alexandria describes NiTe2Pt at its PBEsol-relaxed geometry. The functional is meta-GGA SCAN.

```
data_NiTe2Pt
_cell_length_a 6.7681
_cell_length_b 6.7681
_cell_length_c 6.7681
_cell_angle_alpha 33.27
_cell_angle_beta 33.27
_cell_angle_gamma 33.27
_symmetry_space_group_name_H-M 'P 1'
_symmetry_Int_Tables_number 1
_symmetry_space_group_name_Hall 'P 1'
loop_
_atom_site_label
_atom_site_type_symbol
_atom_site_fract_x
_atom_site_fract_y
_atom_site_fract_z
Ni1 Ni 0.0000 0.0000 0.0000
Te1 Te 0.2782 0.2782 0.2782
Te2 Te 0.4695 0.4695 0.4695
Pt1 Pt 0.7332 0.7332 0.7332
```

Properties
**Distance to the lowest polymorph of the same formula**: 0.0000 eV per atom
**D(E_F)**: 0.45 states/eV per atom
**Raw formation energy**: -0.319 eV per atom
**Total moment**: 0.0 μB per formula unit

***

(2)
This record from Alexandria describes Ni2TePt at its PBEsol-relaxed geometry. The functional is meta-GGA SCAN.

```
data_Ni2TePt
_cell_length_a 4.3088
_cell_length_b 4.3088
_cell_length_c 4.3088
_cell_angle_alpha 60.00
_cell_angle_beta 60.00
_cell_angle_gamma 60.00
_symmetry_space_group_name_H-M 'P 1'
_symmetry_Int_Tables_number 1
_symmetry_space_group_name_Hall 'P 1'
loop_
_atom_site_label
_atom_site_type_symbol
_atom_site_fract_x
_atom_site_fract_y
_atom_site_fract_z
Ni1 Ni 0.2500 0.2500 0.2500
Ni2 Ni 0.7500 0.7500 0.7500
Te1 Te 0.0000 0.0000 0.0000
Pt1 Pt 0.5000 0.5000 0.5000
```

Properties
**Distance to the lowest polymorph of the same formula**: 0.0000 eV per atom
**D(E_F)**: 0.60 states/eV per atom
**Raw formation energy**: 0.044 eV per atom
**Total moment**: 0.0 μB per formula unit

***

(3)
This record from Alexandria describes NiTePt2 at its PBEsol-relaxed geometry. The functional is meta-GGA SCAN.

```
data_NiTePt2
_cell_length_a 4.9337
_cell_length_b 4.9337
_cell_length_c 4.9337
_cell_angle_alpha 133.45
_cell_angle_beta 133.45
_cell_angle_gamma 67.95
_symmetry_space_group_name_H-M 'P 1'
_symmetry_Int_Tables_number 1
_symmetry_space_group_name_Hall 'P 1'
loop_
_atom_site_label
_atom_site_type_symbol
_atom_site_fract_x
_atom_site_fract_y
_atom_site_fract_z
Ni1 Ni 0.0000 0.0000 0.0000
Te1 Te 0.5000 0.5000 0.0000
Pt1 Pt 0.2500 0.7500 0.5000
Pt2 Pt 0.7500 0.2500 0.5000
```

Properties
**Distance to the lowest polymorph of the same formula**: 0.0076 eV per atom
**D(E_F)**: 0.45 states/eV per atom
**Raw formation energy**: 0.054 eV per atom
**Total moment**: 0.0 μB per formula unit

***

(4)
This record from Alexandria describes Ti11Ni9Pt4 at its PBEsol-relaxed geometry. The functional is meta-GGA SCAN.

```
data_Ti11Ni9Pt4
_cell_length_a 7.3820
_cell_length_b 7.3820
_cell_length_c 14.0827
_cell_angle_alpha 95.24
_cell_angle_beta 95.24
_cell_angle_gamma 120.13
_symmetry_space_group_name_H-M 'P 1'
_symmetry_Int_Tables_number 1
_symmetry_space_group_name_Hall 'P 1'
loop_
_atom_site_label
_atom_site_type_symbol
_atom_site_fract_x
_atom_site_fract_y
_atom_site_fract_z
Ti1 Ti 0.0000 0.5000 0.5000
Ti2 Ti 0.0834 0.9166 0.7500
Ti3 Ti 0.1172 0.2831 0.6485
Ti4 Ti 0.1669 0.6186 0.8622
Ti5 Ti 0.1749 0.3350 0.0004
Ti6 Ti 0.2525 0.7475 0.2500
Ti7 Ti 0.2831 0.1172 0.1485
Ti8 Ti 0.3350 0.1749 0.5004
Ti9 Ti 0.3676 0.4474 0.3411
Ti10 Ti 0.3814 0.8331 0.6378
Ti11 Ti 0.4474 0.3676 0.8411
Ti12 Ti 0.5000 0.0000 0.0000
Ti13 Ti 0.5526 0.6324 0.1589
Ti14 Ti 0.6186 0.1669 0.3622
Ti15 Ti 0.6324 0.5526 0.6589
Ti16 Ti 0.6650 0.8251 0.4996
Ti17 Ti 0.7169 0.8828 0.8515
Ti18 Ti 0.7475 0.2525 0.7500
Ti19 Ti 0.8251 0.6650 0.9996
Ti20 Ti 0.8331 0.3814 0.1378
Ti21 Ti 0.8828 0.7169 0.3515
Ti22 Ti 0.9166 0.0834 0.2500
Ni1 Ni 0.0055 0.4395 0.3239
Ni2 Ni 0.0421 0.2139 0.8237
Ni3 Ni 0.1621 0.3880 0.1748
Ni4 Ni 0.2139 0.0421 0.3237
Ni5 Ni 0.3393 0.5098 0.5204
Ni6 Ni 0.3797 0.6203 0.7500
Ni7 Ni 0.3880 0.1621 0.6748
Ni8 Ni 0.4395 0.0055 0.8239
Ni9 Ni 0.4902 0.6607 0.9796
Ni10 Ni 0.5098 0.3393 0.0204
Ni11 Ni 0.5605 0.9945 0.1761
Ni12 Ni 0.6120 0.8379 0.3252
Ni13 Ni 0.6203 0.3797 0.2500
Ni14 Ni 0.6607 0.4902 0.4796
Ni15 Ni 0.7861 0.9579 0.6763
Ni16 Ni 0.8379 0.6120 0.8252
Ni17 Ni 0.9579 0.7861 0.1763
Ni18 Ni 0.9945 0.5605 0.6761
Pt1 Pt 0.0230 0.8556 0.5619
Pt2 Pt 0.1444 0.9770 0.9381
Pt3 Pt 0.1845 0.6878 0.0628
Pt4 Pt 0.3122 0.8155 0.4372
Pt5 Pt 0.6878 0.1845 0.5628
Pt6 Pt 0.8155 0.3122 0.9372
Pt7 Pt 0.8556 0.0230 0.0619
Pt8 Pt 0.9770 0.1444 0.4381
```

Properties
**D(E_F)**: 0.60 states/eV per atom
**DFT formation energy**: -70.6 kJ per mole of atoms
**Total moment**: 0.0 μB per formula unit

***

(5)
This record from Alexandria describes Ti2Ni2Pt at its PBEsol-relaxed geometry. The functional is meta-GGA SCAN.

```
data_Ti2Ni2Pt
_cell_length_a 6.7548
_cell_length_b 6.7548
_cell_length_c 2.8826
_cell_angle_alpha 90.00
_cell_angle_beta 90.00
_cell_angle_gamma 90.00
_symmetry_space_group_name_H-M 'P 1'
_symmetry_Int_Tables_number 1
_symmetry_space_group_name_Hall 'P 1'
loop_
_atom_site_label
_atom_site_type_symbol
_atom_site_fract_x
_atom_site_fract_y
_atom_site_fract_z
Ti1 Ti 0.1747 0.3253 0.0000
Ti2 Ti 0.3253 0.8253 0.0000
Ti3 Ti 0.6747 0.1747 0.0000
Ti4 Ti 0.8253 0.6747 0.0000
Ni1 Ni 0.1257 0.6257 0.5000
Ni2 Ni 0.3743 0.1257 0.5000
Ni3 Ni 0.6257 0.8743 0.5000
Ni4 Ni 0.8743 0.3743 0.5000
Pt1 Pt 0.0000 0.0000 0.5000
Pt2 Pt 0.5000 0.5000 0.5000
```

Properties
**D(E_F)**: 0.51 states/eV per atom
**DFT formation energy**: -72.2 kJ per mole of atoms
**Total moment**: 0.0 μB per formula unit

***

(6)
This record from Alexandria describes NiPt2W at its PBEsol-relaxed geometry. The functional is meta-GGA SCAN.

```
data_NiPt2W
_cell_length_a 2.7203
_cell_length_b 2.7203
_cell_length_c 7.5434
_cell_angle_alpha 90.00
_cell_angle_beta 90.00
_cell_angle_gamma 90.00
_symmetry_space_group_name_H-M 'P 1'
_symmetry_Int_Tables_number 1
_symmetry_space_group_name_Hall 'P 1'
loop_
_atom_site_label
_atom_site_type_symbol
_atom_site_fract_x
_atom_site_fract_y
_atom_site_fract_z
Ni1 Ni 0.0000 0.0000 0.0000
Pt1 Pt 0.5000 0.5000 0.2417
Pt2 Pt 0.5000 0.5000 0.7583
W1 W 0.0000 0.0000 0.5000
```

Properties
**Distance to the lowest polymorph of the same formula**: 0.0494 eV per atom
**D(E_F)**: 0.85 states/eV per atom
**DFT formation energy**: -23.1 kJ per mole of atoms
**Total moment**: 0.8 μB per formula unit

***

(7)
This record from Alexandria describes Ni4PtW at its PBEsol-relaxed geometry. The functional is meta-GGA SCAN.

```
data_Ni4PtW
_cell_length_a 4.6279
_cell_length_b 4.6279
_cell_length_c 4.6279
_cell_angle_alpha 60.00
_cell_angle_beta 60.00
_cell_angle_gamma 60.00
_symmetry_space_group_name_H-M 'P 1'
_symmetry_Int_Tables_number 1
_symmetry_space_group_name_Hall 'P 1'
loop_
_atom_site_label
_atom_site_type_symbol
_atom_site_fract_x
_atom_site_fract_y
_atom_site_fract_z
Ni1 Ni 0.1247 0.1247 0.1247
Ni2 Ni 0.1247 0.1247 0.6259
Ni3 Ni 0.1247 0.6259 0.1247
Ni4 Ni 0.6259 0.1247 0.1247
Pt1 Pt 0.5000 0.5000 0.5000
W1 W 0.7500 0.7500 0.7500
```

Properties
**D(E_F)**: 0.82 states/eV per atom
**DFT formation energy**: -8.8 kJ per mole of atoms
**Total moment**: 0.0 μB per formula unit

***

(8)
This record from Alexandria describes Ni2PtW at its PBEsol-relaxed geometry. The functional is meta-GGA SCAN.

```
data_Ni2PtW
_cell_length_a 2.6892
_cell_length_b 3.6117
_cell_length_c 5.2855
_cell_angle_alpha 90.00
_cell_angle_beta 90.00
_cell_angle_gamma 90.00
_symmetry_space_group_name_H-M 'P 1'
_symmetry_Int_Tables_number 1
_symmetry_space_group_name_Hall 'P 1'
loop_
_atom_site_label
_atom_site_type_symbol
_atom_site_fract_x
_atom_site_fract_y
_atom_site_fract_z
Ni1 Ni 0.0000 0.0000 0.2391
Ni2 Ni 0.0000 0.0000 0.7609
Pt1 Pt 0.5000 0.5000 0.5000
W1 W 0.5000 0.5000 0.0000
```

Properties
**Distance to the lowest polymorph of the same formula**: 0.1231 eV per atom
**D(E_F)**: 0.69 states/eV per atom
**DFT formation energy**: -7.8 kJ per mole of atoms
**Total moment**: 0.0 μB per formula unit

***

(9)
This record from Alexandria describes NiPtW2 at its PBEsol-relaxed geometry. The functional is meta-GGA SCAN.

```
data_NiPtW2
_cell_length_a 2.6960
_cell_length_b 2.6960
_cell_length_c 7.8082
_cell_angle_alpha 90.00
_cell_angle_beta 90.00
_cell_angle_gamma 90.00
_symmetry_space_group_name_H-M 'P 1'
_symmetry_Int_Tables_number 1
_symmetry_space_group_name_Hall 'P 1'
loop_
_atom_site_label
_atom_site_type_symbol
_atom_site_fract_x
_atom_site_fract_y
_atom_site_fract_z
Ni1 Ni 0.0000 0.0000 0.0000
Pt1 Pt 0.5000 0.5000 0.7571
W1 W 0.0000 0.0000 0.5065
W2 W 0.5000 0.5000 0.2205
```

Properties
**Distance to the lowest polymorph of the same formula**: 0.0463 eV per atom
**D(E_F)**: 0.78 states/eV per atom
**DFT formation energy**: -6.8 kJ per mole of atoms
**Total moment**: 0.0 μB per formula unit

***

(10)
This record from Alexandria describes NiPt2W at its PBEsol-relaxed geometry. The functional is meta-GGA SCAN.

```
data_NiPt2W
_cell_length_a 4.7320
_cell_length_b 4.7320
_cell_length_c 4.7320
_cell_angle_alpha 132.92
_cell_angle_beta 132.92
_cell_angle_gamma 68.77
_symmetry_space_group_name_H-M 'P 1'
_symmetry_Int_Tables_number 1
_symmetry_space_group_name_Hall 'P 1'
loop_
_atom_site_label
_atom_site_type_symbol
_atom_site_fract_x
_atom_site_fract_y
_atom_site_fract_z
Ni1 Ni 0.0000 0.0000 0.0000
Pt1 Pt 0.5000 0.5000 0.0000
Pt2 Pt 0.7500 0.2500 0.5000
W1 W 0.2500 0.7500 0.5000
```

Properties
**Distance to the lowest polymorph of the same formula**: 0.0623 eV per atom
**D(E_F)**: 0.60 states/eV per atom
**DFT formation energy**: -21.9 kJ per mole of atoms
**Total moment**: 0.0 μB per formula unit

***

(11)
This record from Alexandria describes NiPtW2 at its PBEsol-relaxed geometry. The functional is meta-GGA SCAN.

```
data_NiPtW2
_cell_length_a 2.6910
_cell_length_b 4.3582
_cell_length_c 4.8116
_cell_angle_alpha 90.00
_cell_angle_beta 90.00
_cell_angle_gamma 90.00
_symmetry_space_group_name_H-M 'P 1'
_symmetry_Int_Tables_number 1
_symmetry_space_group_name_Hall 'P 1'
loop_
_atom_site_label
_atom_site_type_symbol
_atom_site_fract_x
_atom_site_fract_y
_atom_site_fract_z
Ni1 Ni 0.0000 0.0000 0.0000
Pt1 Pt 0.0000 0.5000 0.6790
W1 W 0.5000 0.0000 0.4939
W2 W 0.5000 0.5000 0.1611
```

Properties
**Distance to the lowest polymorph of the same formula**: 0.0000 eV per atom
**D(E_F)**: 0.71 states/eV per atom
**DFT formation energy**: -11.3 kJ per mole of atoms
**Total moment**: 0.0 μB per formula unit

***

(12)
This record from Alexandria describes Ni2PtW at its PBEsol-relaxed geometry. The functional is meta-GGA SCAN.

```
data_Ni2PtW
_cell_length_a 4.6186
_cell_length_b 4.6186
_cell_length_c 4.6186
_cell_angle_alpha 133.54
_cell_angle_beta 133.54
_cell_angle_gamma 67.80
_symmetry_space_group_name_H-M 'P 1'
_symmetry_Int_Tables_number 1
_symmetry_space_group_name_Hall 'P 1'
loop_
_atom_site_label
_atom_site_type_symbol
_atom_site_fract_x
_atom_site_fract_y
_atom_site_fract_z
Ni1 Ni 0.0000 0.0000 0.0000
Ni2 Ni 0.7500 0.2500 0.5000
Pt1 Pt 0.2500 0.7500 0.5000
W1 W 0.5000 0.5000 0.0000
```

Properties
**Distance to the lowest polymorph of the same formula**: 0.0000 eV per atom
**D(E_F)**: 0.58 states/eV per atom
**DFT formation energy**: -19.7 kJ per mole of atoms
**Total moment**: 0.0 μB per formula unit

***

(13)
This record from Alexandria describes Ni2PtW at its PBEsol-relaxed geometry. The functional is meta-GGA SCAN.

```
data_Ni2PtW
_cell_length_a 3.8259
_cell_length_b 3.8259
_cell_length_c 3.4920
_cell_angle_alpha 90.00
_cell_angle_beta 90.00
_cell_angle_gamma 90.00
_symmetry_space_group_name_H-M 'P 1'
_symmetry_Int_Tables_number 1
_symmetry_space_group_name_Hall 'P 1'
loop_
_atom_site_label
_atom_site_type_symbol
_atom_site_fract_x
_atom_site_fract_y
_atom_site_fract_z
Ni1 Ni 0.0000 0.5000 0.0000
Ni2 Ni 0.5000 0.0000 0.0000
Pt1 Pt 0.0000 0.0000 0.5000
W1 W 0.5000 0.5000 0.5000
```

Properties
**Distance to the lowest polymorph of the same formula**: 0.2176 eV per atom
**D(E_F)**: 1.51 states/eV per atom
**DFT formation energy**: 1.3 kJ per mole of atoms
**Total moment**: 0.0 μB per formula unit